[1]
Here is crystalline SrInPb at its relaxed geometry from the Alexandria database. Energies are from GGA-PBE.

Unit cell a=5.399 b=5.399 c=5.399 alpha=60.00 beta=60.00 gamma=60.00
Positions (direct):
1 Sr 0.000 0.000 0.000
2 Pb 0.750 0.750 0.750
3 In 0.500 0.500 0.500

Values from the calculation:
N(E_F)	0.77	states/eV per atom
magnetization	0.00	μB/f.u.
energy relative to the elements	-263	meV per atom
theoretical density	6.1	g/cm³
energy	-8.9	eV per cell

***

[2]
Here is crystalline SrIn2Pb6 at its relaxed geometry from the Alexandria database. Energies are from GGA-PBE.

Unit cell a=3.617 b=10.145 c=10.145 alpha=54.56 beta=74.63 gamma=74.63
Positions (direct):
1 Pb 0.673 0.645 0.003
2 Pb 0.327 0.355 0.997
3 Pb 0.500 0.669 0.331
4 Pb 0.500 0.331 0.669
5 Pb 0.327 0.997 0.355
6 Pb 0.673 0.003 0.645
7 In 0.808 0.650 0.650
8 In 0.192 0.350 0.350
9 Sr 0.000 0.000 0.000

Values from the calculation:
N(E_F)	0.53	states/eV per atom
magnetization	0.00	μB/f.u.
energy relative to the elements	-53	meV per atom
energy above the lowest structure with this stoichiometry	68	meV per atom
theoretical density	8.9	g/cm³
energy	-29.9	eV per cell

***

[3]
Here is crystalline Sr4In6Pb7 at its relaxed geometry from the Alexandria database. Energies are from GGA-PBE.

Unit cell a=8.894 b=8.894 c=8.894 alpha=109.47 beta=109.47 gamma=109.47
Positions (direct):
1 Pb 0.000 0.000 0.000
2 Pb 0.750 0.500 0.250
3 Pb 0.500 0.250 0.750
4 Pb 0.250 0.750 0.500
5 Pb 0.250 0.500 0.750
6 Pb 0.500 0.750 0.250
7 Pb 0.750 0.250 0.500
8 Sr 0.500 0.500 0.500
9 Sr 0.500 0.000 0.000
10 Sr 0.000 0.000 0.500
11 Sr 0.000 0.500 0.000
12 In 0.000 0.692 0.692
13 In 0.692 0.692 0.000
14 In 0.308 0.308 0.000
15 In 0.000 0.308 0.308
16 In 0.692 0.000 0.692
17 In 0.308 0.000 0.308

Values from the calculation:
N(E_F)	0.53	states/eV per atom
magnetization	0.00	μB/f.u.
energy relative to the elements	-296	meV per atom
theoretical density	7.6	g/cm³
energy	-54.2	eV per cell

***

[4]
Here is crystalline SrInPb3 at its relaxed geometry from the Alexandria database. Energies are from GGA-PBE.

Unit cell a=6.115 b=6.115 c=6.115 alpha=90.00 beta=90.00 gamma=90.00
Last column: magnetic moment on the atom in μB.
Positions (direct):
1 In 0.500 0.500 0.500  -0.01
2 Pb 0.000 0.500 0.000  0.10
3 Pb 0.500 0.000 0.000  0.08
4 Pb 0.000 0.000 0.500  0.06
5 Sr 0.000 0.000 0.000  0.11

Values from the calculation:
N(E_F)	1.09	states/eV per atom
magnetization	0.67	μB/f.u.
energy relative to the elements	656	meV per atom
energy above the lowest structure with this stoichiometry	840	meV per atom
theoretical density	6.0	g/cm³
energy	-12.3	eV per cell

***

[5]
Here is crystalline SrIn2Pb at its relaxed geometry from the Alexandria database. Energies are from GGA-PBE.

Unit cell a=8.960 b=8.960 c=7.152 alpha=51.22 beta=51.22 gamma=90.00
Positions (direct):
1 Pb 0.750 0.250 0.500
2 Pb 0.000 0.000 0.000
3 In 0.875 0.913 0.750
4 In 0.087 0.625 0.250
5 In 0.663 0.125 0.250
6 In 0.375 0.337 0.750
7 Sr 0.250 0.750 0.500
8 Sr 0.500 0.500 0.000

Values from the calculation:
N(E_F)	0.43	states/eV per atom
magnetization	0.00	μB/f.u.
energy relative to the elements	-170	meV per atom
theoretical density	6.5	g/cm³
energy	-23.1	eV per cell

***

[6]
Here is crystalline SrInPb6 at its relaxed geometry from the Alexandria database. Energies are from GGA-PBE.

Unit cell a=4.948 b=4.948 c=10.285 alpha=90.00 beta=90.00 gamma=90.00
Positions (direct):
1 Pb 0.500 0.500 0.000
2 Pb 0.000 0.500 0.257
3 Pb 0.500 0.000 0.743
4 Pb 0.500 0.500 0.500
5 Pb 0.500 0.000 0.257
6 Pb 0.000 0.500 0.743
7 Sr 0.000 0.000 0.000
8 In 0.000 0.000 0.500

Values from the calculation:
N(E_F)	0.74	states/eV per atom
magnetization	0.00	μB/f.u.
energy relative to the elements	-131	meV per atom
theoretical density	9.5	g/cm³
energy	-27.7	eV per cell

***

[7]
Here is crystalline Sr2InPb at its relaxed geometry from the Alexandria database. Energies are from GGA-PBE.

Unit cell a=4.066 b=4.066 c=9.259 alpha=90.00 beta=90.00 gamma=89.91
Positions (direct):
1 In 0.000 0.000 0.541
2 Sr 0.000 0.000 0.946
3 Sr 0.500 0.500 0.309
4 Pb 0.500 0.500 0.705

Values from the calculation:
N(E_F)	0.93	states/eV per atom
magnetization	0.00	μB/f.u.
energy relative to the elements	-245	meV per atom
energy above the lowest structure with this stoichiometry	257	meV per atom
theoretical density	5.4	g/cm³
energy	-10.8	eV per cell

***

[8]
Here is crystalline Sr3In3Pb2 at its relaxed geometry from the Alexandria database. Energies are from GGA-PBE.

Unit cell a=5.433 b=6.693 c=16.044 alpha=90.00 beta=90.00 gamma=113.95
Positions (direct):
1 Sr 0.528 0.056 0.750
2 Sr 0.472 0.944 0.250
3 Sr 0.649 0.298 0.030
4 Sr 0.351 0.702 0.530
5 Sr 0.649 0.298 0.470
6 Sr 0.351 0.702 0.970
7 Pb 0.178 0.355 0.154
8 Pb 0.822 0.645 0.654
9 Pb 0.178 0.355 0.346
10 Pb 0.822 0.645 0.846
11 In 0.062 0.124 0.594
12 In 0.938 0.876 0.094
13 In 0.938 0.876 0.406
14 In 0.062 0.124 0.906
15 In 0.226 0.453 0.750
16 In 0.774 0.547 0.250

Values from the calculation:
N(E_F)	0.53	states/eV per atom
magnetization	0.00	μB/f.u.
energy relative to the elements	-325	meV per atom
theoretical density	6.4	g/cm³
energy	-46.6	eV per cell